# 1
Material: Dy2Sc2Tc
Method: DFT, PBE-GGA
State: relaxed

Results
space group	No. 15
DOS(E_F)	0.97	states/eV/atom
final energy	-65.01	eV per cell

Cell and atoms, written as CIF:
```
data_Dy2Sc2Tc
_chemical_formula_sum 'Dy4 Sc4 Tc2'
_cell_length_a 6.464
_cell_length_b 6.798
_cell_length_c 6.786
_cell_angle_alpha 104.91
_cell_angle_beta 90.00
_cell_angle_gamma 118.39
_space_group_name_H-M_alt 'P 1'
_space_group_IT_number 1
loop_
_space_group_symop_operation_xyz
'x,y,z'
loop_
_atom_site_label
_atom_site_type_symbol
_atom_site_fract_x
_atom_site_fract_y
_atom_site_fract_z
_atom_site_occupancy
Sc1 Sc 0.207 0.218 0.980 1
Sc2 Sc 0.011 0.218 0.480 1
Sc3 Sc 0.793 0.782 0.020 1
Sc4 Sc 0.989 0.782 0.520 1
Tc1 Tc 0.763 0.000 0.750 1
Tc2 Tc 0.237 0.000 0.250 1
Dy1 Dy 0.263 0.706 0.887 1
Dy2 Dy 0.737 0.294 0.113 1
Dy3 Dy 0.556 0.294 0.613 1
Dy4 Dy 0.444 0.706 0.387 1
```


# 2
Material: Th5PSe4
Method: DFT, PBE-GGA
State: relaxed

Results
space group	No. 139
DOS(E_F)	0.56	states/eV/atom
raw formation energy	-1.563	eV per atom

Cell and atoms, written as CIF:
```
data_Th5PSe4
_chemical_formula_sum 'Th5 P1 Se4'
_cell_length_a 4.191
_cell_length_b 4.191
_cell_length_c 15.115
_cell_angle_alpha 97.97
_cell_angle_beta 97.97
_cell_angle_gamma 90.00
_space_group_name_H-M_alt 'P 1'
_space_group_IT_number 1
loop_
_space_group_symop_operation_xyz
'x,y,z'
loop_
_atom_site_label
_atom_site_type_symbol
_atom_site_fract_x
_atom_site_fract_y
_atom_site_fract_z
_atom_site_occupancy
Th1 Th 0.701 0.701 0.402 1
Th2 Th 0.904 0.904 0.807 1
Th3 Th 0.299 0.299 0.598 1
Th4 Th 0.096 0.096 0.193 1
Th5 Th 0.500 0.500 0.000 1
Se1 Se 0.198 0.198 0.397 1
Se2 Se 0.802 0.802 0.603 1
Se3 Se 0.400 0.400 0.799 1
Se4 Se 0.600 0.600 0.201 1
P1 P 0.000 0.000 0.000 1
```


# 3
Material: LiCa2W
Method: DFT, PBE-GGA
State: relaxed

Results
space group	No. 119
DOS(E_F)	0.89	states/eV/atom
final energy	-15.03	eV per cell

Cell and atoms, written as CIF:
```
data_LiCa2W
_chemical_formula_sum 'Li1 Ca2 W1'
_cell_length_a 5.884
_cell_length_b 5.884
_cell_length_c 5.884
_cell_angle_alpha 134.45
_cell_angle_beta 134.45
_cell_angle_gamma 66.39
_space_group_name_H-M_alt 'P 1'
_space_group_IT_number 1
loop_
_space_group_symop_operation_xyz
'x,y,z'
loop_
_atom_site_label
_atom_site_type_symbol
_atom_site_fract_x
_atom_site_fract_y
_atom_site_fract_z
_atom_site_occupancy
Li1 Li 0.500 0.500 0.000 1
Ca1 Ca 0.000 0.000 0.000 1
Ca2 Ca 0.250 0.750 0.500 1
W1 W 0.750 0.250 0.500 1
```


# 4
Material: Sb2IrOsI
Method: DFT, PBE-GGA
State: relaxed

Results
space group	No. 123
DOS(E_F)	0.87	states/eV/atom
raw formation energy	1.394	eV per atom

Cell and atoms, written as CIF:
```
data_Sb2IrOsI
_chemical_formula_sum 'Sb2 Ir1 Os1 I1'
_cell_length_a 4.988
_cell_length_b 4.988
_cell_length_c 5.432
_cell_angle_alpha 90.00
_cell_angle_beta 90.00
_cell_angle_gamma 90.00
_space_group_name_H-M_alt 'P 1'
_space_group_IT_number 1
loop_
_space_group_symop_operation_xyz
'x,y,z'
loop_
_atom_site_label
_atom_site_type_symbol
_atom_site_fract_x
_atom_site_fract_y
_atom_site_fract_z
_atom_site_occupancy
Sb1 Sb 0.000 0.500 0.000 1
Sb2 Sb 0.500 0.000 0.000 1
I1 I 0.000 0.000 0.500 1
Os1 Os 0.000 0.000 0.000 1
Ir1 Ir 0.500 0.500 0.500 1
```


# 5
Material: Dy4Y5Er
Method: DFT, PBE-GGA
State: relaxed

Results
space group	No. 79
DOS(E_F)	1.60	states/eV/atom
final energy	-52.20	eV per cell

Cell and atoms, written as CIF:
```
data_Dy4Y5Er
_chemical_formula_sum 'Dy4 Y5 Er1'
_cell_length_a 6.263
_cell_length_b 7.880
_cell_length_c 7.880
_cell_angle_alpha 80.91
_cell_angle_beta 66.58
_cell_angle_gamma 66.58
_space_group_name_H-M_alt 'P 1'
_space_group_IT_number 1
loop_
_space_group_symop_operation_xyz
'x,y,z'
loop_
_atom_site_label
_atom_site_type_symbol
_atom_site_fract_x
_atom_site_fract_y
_atom_site_fract_z
_atom_site_occupancy
Dy1 Dy 0.102 0.301 0.396 1
Dy2 Dy 0.799 0.699 0.604 1
Dy3 Dy 0.403 0.396 0.699 1
Dy4 Dy 0.498 0.604 0.301 1
Y1 Y 0.679 0.000 0.000 1
Y2 Y 0.720 0.085 0.380 1
Y3 Y 0.100 0.620 0.085 1
Y4 Y 0.805 0.380 0.915 1
Y5 Y 0.185 0.915 0.620 1
Er1 Er 0.218 0.000 0.000 1
```


# 6
Material: CeTmPa
Method: DFT, PBE-GGA
State: relaxed

Results
space group	No. 139
DOS(E_F)	2.76	states/eV/atom
final energy	-37.83	eV per cell

Cell and atoms, written as CIF:
```
data_CeTmPa
_chemical_formula_sum 'Ce2 Tm2 Pa2'
_cell_length_a 3.901
_cell_length_b 3.901
_cell_length_c 12.310
_cell_angle_alpha 99.12
_cell_angle_beta 99.12
_cell_angle_gamma 90.00
_space_group_name_H-M_alt 'P 1'
_space_group_IT_number 1
loop_
_space_group_symop_operation_xyz
'x,y,z'
loop_
_atom_site_label
_atom_site_type_symbol
_atom_site_fract_x
_atom_site_fract_y
_atom_site_fract_z
_atom_site_occupancy
Ce1 Ce 0.158 0.158 0.315 1
Ce2 Ce 0.842 0.842 0.685 1
Pa1 Pa 0.286 0.286 0.571 1
Pa2 Pa 0.714 0.714 0.429 1
Tm1 Tm 0.427 0.427 0.855 1
Tm2 Tm 0.573 0.573 0.145 1
```


# 7
Material: Ga2BiTe
Method: DFT, PBE-GGA
State: relaxed

Results
space group	No. 225
DOS(E_F)	0.55	states/eV/atom
raw formation energy	0.092	eV per atom

Cell and atoms, written as CIF:
```
data_Ga2BiTe
_chemical_formula_sum 'Ga2 Bi1 Te1'
_cell_length_a 5.253
_cell_length_b 5.253
_cell_length_c 5.253
_cell_angle_alpha 60.00
_cell_angle_beta 60.00
_cell_angle_gamma 60.00
_space_group_name_H-M_alt 'P 1'
_space_group_IT_number 1
loop_
_space_group_symop_operation_xyz
'x,y,z'
loop_
_atom_site_label
_atom_site_type_symbol
_atom_site_fract_x
_atom_site_fract_y
_atom_site_fract_z
_atom_site_occupancy
Ga1 Ga 0.250 0.250 0.250 1
Ga2 Ga 0.750 0.750 0.750 1
Te1 Te 0.000 0.000 0.000 1
Bi1 Bi 0.500 0.500 0.500 1
```


# 8
Material: Pm3Th2PaAs6
Method: DFT, PBE-GGA
State: relaxed

Results
space group	No. 12
DOS(E_F)	0.67	states/eV/atom
final energy	-83.46	eV per cell

Cell and atoms, written as CIF:
```
data_Pm3Th2PaAs6
_chemical_formula_sum 'Pm3 Th2 Pa1 As6'
_cell_length_a 7.310
_cell_length_b 7.310
_cell_length_c 7.296
_cell_angle_alpha 99.61
_cell_angle_beta 99.61
_cell_angle_gamma 120.01
_space_group_name_H-M_alt 'P 1'
_space_group_IT_number 1
loop_
_space_group_symop_operation_xyz
'x,y,z'
loop_
_atom_site_label
_atom_site_type_symbol
_atom_site_fract_x
_atom_site_fract_y
_atom_site_fract_z
_atom_site_occupancy
Pa1 Pa 0.000 0.000 0.000 1
Pm1 Pm 0.169 0.831 0.500 1
Pm2 Pm 0.831 0.169 0.500 1
Pm3 Pm 0.500 0.500 0.500 1
As1 As 0.918 0.593 0.755 1
As2 As 0.757 0.757 0.245 1
As3 As 0.593 0.918 0.755 1
As4 As 0.407 0.082 0.245 1
As5 As 0.082 0.407 0.245 1
As6 As 0.243 0.243 0.755 1
Th1 Th 0.666 0.334 0.000 1
Th2 Th 0.334 0.666 0.000 1
```


- What is the DOS(E_F) in the eighth record?
  0.67 states/eV/atom


- DOS(E_F) of number 7 (Ga2BiTe)?
  0.55 states/eV/atom


Copy entry 6 word for word.
Material: CeTmPa
Method: DFT, PBE-GGA
State: relaxed

Results
space group	No. 139
DOS(E_F)	2.76	states/eV/atom
final energy	-37.83	eV per cell

Cell and atoms, written as CIF:
```
data_CeTmPa
_chemical_formula_sum 'Ce2 Tm2 Pa2'
_cell_length_a 3.901
_cell_length_b 3.901
_cell_length_c 12.310
_cell_angle_alpha 99.12
_cell_angle_beta 99.12
_cell_angle_gamma 90.00
_space_group_name_H-M_alt 'P 1'
_space_group_IT_number 1
loop_
_space_group_symop_operation_xyz
'x,y,z'
loop_
_atom_site_label
_atom_site_type_symbol
_atom_site_fract_x
_atom_site_fract_y
_atom_site_fract_z
_atom_site_occupancy
Ce1 Ce 0.158 0.158 0.315 1
Ce2 Ce 0.842 0.842 0.685 1
Pa1 Pa 0.286 0.286 0.571 1
Pa2 Pa 0.714 0.714 0.429 1
Tm1 Tm 0.427 0.427 0.855 1
Tm2 Tm 0.573 0.573 0.145 1
```